Version P
Computed, not measured: an optimized crystal structure of KTePN2 at the PBE level of DFT.

a b c (Å): 4.7314 4.7314 7.1647
angles (deg): 90.00 90.00 90.00
Element x y z (fractional)
K (0.0000, 0.0000, 0.0000)
Te (0.0000, 0.0000, 0.5000)
P (0.5000, 0.5000, 0.5000)
N (0.0000, 0.5000, 0.0000)
N (0.5000, 0.0000, 0.0000)

## Properties
As for the space group: No. 123. For the total moment, the calculation gives 1.303 μB/atom. Its crystal system is tetragonal.

***

Version Q
Computed, not measured: an optimized crystal structure of KTePN2 at the PBE level of DFT.

a b c (Å): 4.2129 4.2129 5.2983
angles (deg): 90.00 90.00 90.00
Element x y z (fractional)
K (0.0000, 0.0000, 0.0000)
Te (0.5000, 0.5000, 0.0000)
P (0.5000, 0.5000, 0.5000)
N (0.0000, 0.5000, 0.5000)
N (0.5000, 0.0000, 0.5000)

## Properties
As for the space group: No. 123. For the total moment, the calculation gives 0.566 μB/atom. Its crystal system is tetragonal.

***

version Q ends up most stable, edging out the next structure by 1.098 eV/atom.

***

Version P
Computed, not measured: an optimized crystal structure of KTe2PN at the PBE level of DFT.

a b c (Å): 6.1703 6.1703 3.2655
angles (deg): 90.00 90.00 90.00
Element x y z (fractional)
K (0.0000, 0.0000, 0.0000)
Te (0.0000, 0.5000, 0.5000)
Te (0.5000, 0.0000, 0.5000)
P (0.5000, 0.5000, 0.5000)
N (0.5000, 0.5000, 0.0000)

## Properties
As for the space group: No. 123. For the total moment, the calculation gives 0.000 μB/atom. Its crystal system is tetragonal.

***

Version Q
Computed, not measured: an optimized crystal structure of KTe2PN at the PBE level of DFT.

a b c (Å): 6.3191 6.3191 4.8849
angles (deg): 90.00 90.00 90.00
Element x y z (fractional)
K (0.0000, 0.0000, 0.0000)
Te (0.0000, 0.5000, 0.0000)
Te (0.5000, 0.0000, 0.0000)
P (0.5000, 0.5000, 0.5000)
N (0.0000, 0.0000, 0.5000)

## Properties
As for the space group: No. 123. For the total moment, the calculation gives 0.555 μB/atom. Its crystal system is tetragonal.

***

version P ends up most stable, edging out the next structure by 1.769 eV/atom.

***

Version P
Computed, not measured: an optimized crystal structure of KPaN2 at the PBE level of DFT.

a b c (Å): 3.0430 3.0430 6.7422
angles (deg): 90.00 90.00 90.00
Element x y z (fractional)
K (0.0000, 0.0000, 0.0000)
Pa (0.0000, 0.0000, 0.5000)
N (0.5000, 0.5000, 0.3166)
N (0.5000, 0.5000, 0.6834)

## Properties
As for the space group: No. 123. For the total moment, the calculation gives 0.058 μB/atom. Its crystal system is tetragonal.

***

Version Q
Computed, not measured: an optimized crystal structure of KPaN2 at the PBE level of DFT.

a b c (Å): 6.8725 6.8725 6.8725
angles (deg): 30.38 30.38 30.38
Element x y z (fractional)
K (0.0000, 0.0000, 0.0000)
Pa (0.1711, 0.1711, 0.1711)
N (0.5581, 0.5581, 0.5581)
N (0.7862, 0.7862, 0.7862)

## Properties
As for the space group: No. 160. For the total moment, the calculation gives 0.000 μB/atom. Its crystal system is trigonal.

***

Version R
Computed, not measured: an optimized crystal structure of KPaN2 at the PBE level of DFT.

a b c (Å): 6.7593 6.7593 6.7593
angles (deg): 30.99 30.99 30.99
Element x y z (fractional)
K (0.0000, 0.0000, 0.0000)
Pa (0.5000, 0.5000, 0.5000)
N (0.2199, 0.2199, 0.2199)
N (0.7801, 0.7801, 0.7801)

## Properties
As for the space group: No. 166. For the total moment, the calculation gives 0.000 μB/atom. Its crystal system is trigonal.

***

Version S
Computed, not measured: an optimized crystal structure of KPaN2 at the PBE level of DFT.

a b c (Å): 7.4744 7.4744 7.4744
angles (deg): 28.16 28.16 28.16
Element x y z (fractional)
K (0.0000, 0.0000, 0.0000)
Pa (0.5000, 0.5000, 0.5000)
N (0.1209, 0.1209, 0.1209)
N (0.8791, 0.8791, 0.8791)

## Properties
As for the space group: No. 166. For the total moment, the calculation gives 0.000 μB/atom. Its crystal system is trigonal.

***

version R ends up most stable, edging out the next structure by 0.040 eV/atom.

***

Version P
Computed, not measured: an optimized crystal structure of K2PbN at the PBE level of DFT.

a b c (Å): 8.4772 8.4772 8.4772
angles (deg): 94.27 94.27 148.34
Element x y z (fractional)
K (0.3750, 0.0627, 0.1877)
K (0.8127, 0.6250, 0.6877)
K (0.8750, 0.1873, 0.8123)
K (0.9373, 0.1250, 0.3123)
Pb (0.2500, 0.7500, 0.5000)
Pb (0.5000, 0.5000, 0.0000)
N (0.0000, 0.0000, 0.0000)
N (0.7500, 0.2500, 0.5000)

## Properties
As for the space group: No. 122. For the total moment, the calculation gives 0.225 μB/atom. Its crystal system is tetragonal.

***

Version Q
Computed, not measured: an optimized crystal structure of K2PbN at the PBE level of DFT.

a b c (Å): 5.4654 5.4654 5.4654
angles (deg): 60.00 60.00 60.00
Element x y z (fractional)
K (0.2500, 0.2500, 0.2500)
K (0.7500, 0.7500, 0.7500)
Pb (0.0000, 0.0000, 0.0000)
N (0.5000, 0.5000, 0.5000)

## Properties
As for the space group: No. 225. For the total moment, the calculation gives 0.000 μB/atom. Its crystal system is cubic.

***

version P ends up most stable, edging out the next structure by 0.589 eV/atom.

***

Version P
Computed, not measured: an optimized crystal structure of KPbS2N at the PBE level of DFT.

a b c (Å): 5.5595 5.5595 4.7942
angles (deg): 90.00 90.00 90.00
Element x y z (fractional)
K (0.0000, 0.0000, 0.0000)
Pb (0.5000, 0.5000, 0.5000)
S (0.0000, 0.5000, 0.0000)
S (0.5000, 0.0000, 0.0000)
N (0.0000, 0.0000, 0.5000)

## Properties
As for the space group: No. 123. For the total moment, the calculation gives 0.804 μB/atom. Its crystal system is tetragonal.

***

Version Q
Computed, not measured: an optimized crystal structure of KPbS2N at the PBE level of DFT.

a b c (Å): 5.3223 5.3223 4.6439
angles (deg): 90.00 90.00 90.00
Element x y z (fractional)
K (0.0000, 0.0000, 0.0000)
Pb (0.5000, 0.5000, 0.5000)
S (0.0000, 0.5000, 0.5000)
S (0.5000, 0.0000, 0.5000)
N (0.5000, 0.5000, 0.0000)

## Properties
As for the space group: No. 123. For the total moment, the calculation gives 0.392 μB/atom. Its crystal system is tetragonal.

***

version Q ends up most stable, edging out the next structure by 0.762 eV/atom.

***

Version P
Computed, not measured: an optimized crystal structure of KPbSe2N at the PBE level of DFT.

a b c (Å): 5.7861 5.7861 4.8365
angles (deg): 90.00 90.00 90.00
Element x y z (fractional)
K (0.0000, 0.0000, 0.0000)
Pb (0.5000, 0.5000, 0.5000)
Se (0.0000, 0.5000, 0.0000)
Se (0.5000, 0.0000, 0.0000)
N (0.0000, 0.0000, 0.5000)

## Properties
As for the space group: No. 123. For the total moment, the calculation gives 0.797 μB/atom. Its crystal system is tetragonal.

***

Version Q
Computed, not measured: an optimized crystal structure of KPbSe2N at the PBE level of DFT.

a b c (Å): 5.6006 5.6006 4.6889
angles (deg): 90.00 90.00 90.00
Element x y z (fractional)
K (0.0000, 0.0000, 0.0000)
Pb (0.5000, 0.5000, 0.5000)
Se (0.0000, 0.5000, 0.5000)
Se (0.5000, 0.0000, 0.5000)
N (0.5000, 0.5000, 0.0000)

## Properties
As for the space group: No. 123. For the total moment, the calculation gives 0.447 μB/atom. Its crystal system is tetragonal.

***

version Q ends up most stable, edging out the next structure by 0.691 eV/atom.

***

Version P
Computed, not measured: an optimized crystal structure of KPdN at the PBE level of DFT.

a b c (Å): 3.7738 3.7738 9.0746
angles (deg): 90.00 90.00 90.00
Element x y z (fractional)
K (0.0000, 0.0000, 0.2500)
K (0.0000, 0.0000, 0.7500)
Pd (0.5000, 0.5000, 0.0000)
Pd (0.5000, 0.5000, 0.5000)
N (0.0000, 0.5000, 0.0000)
N (0.5000, 0.0000, 0.5000)

## Properties
As for the space group: No. 131. For the total moment, the calculation gives 0.079 μB/atom. Its crystal system is tetragonal.

***

Version Q
Computed, not measured: an optimized crystal structure of KPdN at the PBE level of DFT.

a b c (Å): 10.6166 3.6828 6.5271
angles (deg): 90.00 90.00 90.00
Element x y z (fractional)
K (0.1600, 0.2500, 0.0849)
K (0.3400, 0.7500, 0.5849)
K (0.6600, 0.2500, 0.4151)
K (0.8400, 0.7500, 0.9151)
Pd (0.0529, 0.2500, 0.6188)
Pd (0.4471, 0.7500, 0.1188)
Pd (0.5529, 0.2500, 0.8812)
Pd (0.9471, 0.7500, 0.3812)
N (0.0822, 0.7500, 0.7058)
N (0.4178, 0.2500, 0.2058)
N (0.5822, 0.7500, 0.7942)
N (0.9178, 0.2500, 0.2942)

## Properties
As for the space group: No. 62. For the total moment, the calculation gives 0.000 μB/atom. Its crystal system is orthorhombic.

***

version P ends up most stable, edging out the next structure by 0.055 eV/atom.

***

Version P
Computed, not measured: an optimized crystal structure of KPdN at the PBE level of DFT.

a b c (Å): 4.0046 5.1141 7.0212
angles (deg): 106.08 106.54 90.02
Element x y z (fractional)
K (0.1209, 0.4098, 0.2416)
K (0.8791, 0.5902, 0.7584)
Pd (0.3209, 0.0432, 0.6415)
Pd (0.6791, 0.9568, 0.3585)
N (0.4738, 0.0803, 0.9504)
N (0.5262, 0.9197, 0.0496)

## Properties
As for the space group: No. 2. For the total moment, the calculation gives 0.000 μB/atom. Its crystal system is triclinic.

***

Version Q
Computed, not measured: an optimized crystal structure of KPdN at the PBE level of DFT.

a b c (Å): 5.2390 5.2390 6.7688
angles (deg): 113.26 113.26 75.90
Element x y z (fractional)
K (0.2468, 0.2468, 0.2669)
K (0.7532, 0.7532, 0.7331)
Pd (0.1571, 0.1571, 0.6936)
Pd (0.8429, 0.8429, 0.3064)
N (0.4189, 0.4189, 0.9531)
N (0.5811, 0.5811, 0.0469)

## Properties
As for the space group: No. 12. For the total moment, the calculation gives 0.000 μB/atom. Its crystal system is monoclinic.

***

Version R
Computed, not measured: an optimized crystal structure of KPdN at the PBE level of DFT.

a b c (Å): 5.0825 5.0825 3.7449
angles (deg): 90.00 90.00 120.00
Element x y z (fractional)
K (0.0000, 0.0000, 0.0000)
Pd (0.6667, 0.3333, 0.5000)
N (0.6667, 0.3333, 0.0000)

## Properties
As for the space group: No. 187. For the total moment, the calculation gives 0.121 μB/atom. Its crystal system is hexagonal.

***

version P ends up most stable, edging out the next structure by 0.034 eV/atom.

***

Version P
Computed, not measured: an optimized crystal structure of KPd3N at the PBE level of DFT.

a b c (Å): 5.2012 5.2012 5.2012
angles (deg): 90.00 90.00 90.00
Element x y z (fractional)
K (0.0000, 0.0000, 0.0000)
Pd (0.0000, 0.0000, 0.5000)
Pd (0.0000, 0.5000, 0.0000)
Pd (0.5000, 0.0000, 0.0000)
N (0.5000, 0.5000, 0.5000)

## Properties
As for the space group: No. 221. For the total moment, the calculation gives 0.518 μB/atom. Its crystal system is cubic.

***

Version Q
Computed, not measured: an optimized crystal structure of KPd3N at the PBE level of DFT.

a b c (Å): 4.3316 4.3316 4.3316
angles (deg): 90.00 90.00 90.00
Element x y z (fractional)
K (0.0000, 0.0000, 0.0000)
Pd (0.0000, 0.5000, 0.5000)
Pd (0.5000, 0.0000, 0.5000)
Pd (0.5000, 0.5000, 0.0000)
N (0.5000, 0.5000, 0.5000)

## Properties
As for the space group: No. 221. For the total moment, the calculation gives 0.000 μB/atom. Its crystal system is cubic.

***

version Q ends up most stable, edging out the next structure by 2.106 eV/atom.

***

Version P
Computed, not measured: an optimized crystal structure of KPdS2N at the PBE level of DFT.

a b c (Å): 5.1582 5.1582 3.7666
angles (deg): 90.00 90.00 90.00
Element x y z (fractional)
K (0.0000, 0.0000, 0.0000)
Pd (0.5000, 0.5000, 0.5000)
S (0.0000, 0.5000, 0.5000)
S (0.5000, 0.0000, 0.5000)
N (0.5000, 0.5000, 0.0000)

## Properties
As for the space group: No. 123. For the total moment, the calculation gives 0.259 μB/atom. Its crystal system is tetragonal.

***

Version Q
Computed, not measured: an optimized crystal structure of KPdS2N at the PBE level of DFT.

a b c (Å): 5.3590 5.3590 4.3537
angles (deg): 90.00 90.00 90.00
Element x y z (fractional)
K (0.0000, 0.0000, 0.0000)
Pd (0.5000, 0.5000, 0.5000)
S (0.0000, 0.5000, 0.0000)
S (0.5000, 0.0000, 0.0000)
N (0.0000, 0.0000, 0.5000)

## Properties
As for the space group: No. 123. For the total moment, the calculation gives 0.000 μB/atom. Its crystal system is tetragonal.

***

version P ends up most stable, edging out the next structure by 1.830 eV/atom.

***

Version P
Computed, not measured: an optimized crystal structure of KPtN2 at the PBE level of DFT.

a b c (Å): 6.9500 6.9500 6.9500
angles (deg): 27.76 27.76 27.76
Element x y z (fractional)
K (0.0000, 0.0000, 0.0000)
Pt (0.5000, 0.5000, 0.5000)
N (0.1240, 0.1240, 0.1240)
N (0.8760, 0.8760, 0.8760)

## Properties
As for the space group: No. 166. For the total moment, the calculation gives 0.000 μB/atom. Its crystal system is trigonal.

***

Version Q
Computed, not measured: an optimized crystal structure of KPtN2 at the PBE level of DFT.

a b c (Å): 4.1238 4.1238 4.1238
angles (deg): 60.00 60.00 60.00
Element x y z (fractional)
K (0.0000, 0.0000, 0.0000)
Pt (0.5000, 0.5000, 0.5000)
N (0.2500, 0.2500, 0.2500)
N (0.7500, 0.7500, 0.7500)

## Properties
As for the space group: No. 225. For the total moment, the calculation gives 0.000 μB/atom. Its crystal system is cubic.

***

version P ends up most stable, edging out the next structure by 0.866 eV/atom.

***

Version P
Computed, not measured: an optimized crystal structure of KPt3N at the PBE level of DFT.

a b c (Å): 5.1789 5.1789 5.1789
angles (deg): 90.00 90.00 90.00
Element x y z (fractional)
K (0.0000, 0.0000, 0.0000)
Pt (0.0000, 0.0000, 0.5000)
Pt (0.0000, 0.5000, 0.0000)
Pt (0.5000, 0.0000, 0.0000)
N (0.5000, 0.5000, 0.5000)

## Properties
As for the space group: No. 221. For the total moment, the calculation gives 0.747 μB/atom. Its crystal system is cubic.

***

Version Q
Computed, not measured: an optimized crystal structure of KPt3N at the PBE level of DFT.

a b c (Å): 4.3427 4.3427 4.3427
angles (deg): 90.00 90.00 90.00
Element x y z (fractional)
K (0.0000, 0.0000, 0.0000)
Pt (0.0000, 0.5000, 0.5000)
Pt (0.5000, 0.0000, 0.5000)
Pt (0.5000, 0.5000, 0.0000)
N (0.5000, 0.5000, 0.5000)

## Properties
As for the space group: No. 221. For the total moment, the calculation gives 0.000 μB/atom. Its crystal system is cubic.

***

version Q ends up most stable, edging out the next structure by 2.607 eV/atom.

***

Version P
Computed, not measured: an optimized crystal structure of KTePtN2 at the PBE level of DFT.

a b c (Å): 4.2771 4.2771 5.6868
angles (deg): 90.00 90.00 90.00
Element x y z (fractional)
K (0.0000, 0.0000, 0.0000)
Te (0.5000, 0.5000, 0.0000)
Pt (0.5000, 0.5000, 0.5000)
N (0.0000, 0.5000, 0.5000)
N (0.5000, 0.0000, 0.5000)

## Properties
As for the space group: No. 123. For the total moment, the calculation gives 0.723 μB/atom. Its crystal system is tetragonal.

***

Version Q
Computed, not measured: an optimized crystal structure of KTePtN2 at the PBE level of DFT.

a b c (Å): 4.5659 4.5659 6.9138
angles (deg): 90.00 90.00 90.00
Element x y z (fractional)
K (0.0000, 0.0000, 0.0000)
Te (0.0000, 0.0000, 0.5000)
Pt (0.5000, 0.5000, 0.5000)
N (0.0000, 0.5000, 0.0000)
N (0.5000, 0.0000, 0.0000)

## Properties
As for the space group: No. 123. For the total moment, the calculation gives 1.198 μB/atom. Its crystal system is tetragonal.

***

version P ends up most stable, edging out the next structure by 1.313 eV/atom.